1.
Compound: Ba4Sm2Cd3S10
Source: the Alexandria database
Functional: GGA-PBE
Structure: optimized geometry Values from VASP.

The total magnetization is 0.0 μB per formula unit. The raw formation energy is -1629 meV/atom.

```
&SYSTEM
  ibrav = 0, nat = 38, ntyp = 4
/
ATOMIC_SPECIES
Ba 137.33 Ba.upf
Sm 150.36 Sm.upf
S 32.06 S.upf
Cd 112.41 Cd.upf
ATOMIC_POSITIONS angstrom
Ba 6.478 0.672 2.982
Sm 0.523 2.044 13.493
Sm -7.020 3.783 20.347
Sm 7.967 0.328 6.847
Ba -1.237 2.450 22.649
S 3.196 1.428 26.729
S 5.686 0.854 17.050
S -0.893 2.371 8.698
Cd 6.540 0.657 25.977
Cd -5.593 3.454 12.477
Cd -5.693 3.477 1.197
S 9.174 0.050 15.439
S -4.739 3.257 3.549
S 2.083 1.685 18.445
Ba -5.539 3.441 24.056
S 1.841 1.741 22.199
S 3.243 1.417 14.003
Ba -0.881 2.368 17.728
S 8.070 0.305 20.171
S -8.227 4.061 1.939
Ba 2.185 1.661 9.149
Sm 0.424 2.067 26.993
Cd 5.509 0.895 19.750
Ba -5.530 3.439 16.482
S 5.230 0.959 7.212
Cd -4.562 3.216 6.250
Cd 6.640 0.634 14.697
S -2.295 2.694 0.503
S -2.248 2.683 13.229
S -4.282 3.152 20.712
S -4.674 3.242 10.210
S -8.142 4.041 11.668
S -1.135 2.426 4.944
Ba 6.486 0.670 10.556
S -7.122 3.806 6.671
S 9.089 0.070 25.169
S 5.622 0.869 23.710
Ba 1.828 1.743 4.228
CELL_PARAMETERS angstrom
9.388 0.001 0.000
-8.441 4.110 0.000
0.000 0.000 27.001
```


2.
Compound: CaFe2Se
Source: the Alexandria database
Functional: GGA-PBE
Structure: optimized geometry Values from VASP.

Its energy above the most stable polymorph in this dataset is 275 meV/atom. The total magnetization is 3.7 μB per formula unit. The raw formation energy is 58 meV/atom.

```
&SYSTEM
  ibrav = 0, nat = 8, ntyp = 3
/
ATOMIC_SPECIES
Fe 55.84 Fe.upf
Ca 40.08 Ca.upf
Se 78.96 Se.upf
ATOMIC_POSITIONS angstrom
Fe -3.223 6.614 0.819
Fe -3.435 3.047 -1.732
Fe -4.460 7.250 -0.986
Ca -3.150 0.444 -0.042
Se 0.000 0.000 0.000
Se -4.111 4.973 -0.590
Ca -4.261 4.197 2.491
Fe -5.325 2.979 -0.462
CELL_PARAMETERS angstrom
-2.999 1.220 -3.123
-3.300 -0.332 3.039
-2.073 8.282 1.985
```


3.
Compound: PmEr2SbO8
Source: the Alexandria database
Functional: GGA-PBE
Structure: optimized geometry Values from VASP.

The total magnetization is 1.5 μB per formula unit. The raw formation energy is -2472 meV/atom.

```
&SYSTEM
  ibrav = 0, nat = 12, ntyp = 4
/
ATOMIC_SPECIES
Er 167.26 Er.upf
O 16.00 O.upf
Pm 145.00 Pm.upf
Sb 121.76 Sb.upf
ATOMIC_POSITIONS angstrom
Er 1.959 2.537 1.804
O 0.079 3.945 1.572
O 3.841 1.133 5.772
O 1.711 1.078 -0.002
O 0.081 3.949 5.771
O 1.984 1.270 3.673
O 1.936 3.809 3.671
O 3.839 1.129 1.573
Er 1.961 2.541 5.540
Pm 0.002 0.004 3.676
O 2.205 3.992 -0.005
Sb 0.000 0.000 0.000
CELL_PARAMETERS angstrom
4.067 -0.170 -0.002
-0.151 5.240 -0.006
0.004 0.008 7.352
```